1.
Here is an optimized crystal structure of TlZnNiPd from OQMD via LeMat-Bulk. Energies are from GGA-PBE.

Output
The calculated volume comes out at 15.83 Å³/atom. For the total energy, the calculation gives -3.653 eV per atom.

Cell: 4.4743 4.4743 4.4743 Å, 60.00 60.00 60.00°
Closest atoms and distances in Å follow each position.
Positions (direct):
Tl  0.0000  0.0000  0.0000  4 Ni 2.74, 4 Pd 2.74
Zn  0.5000  0.5000  0.5000  4 Ni 2.74, 4 Pd 2.74
Ni  0.7500  0.7500  0.7500  4 Tl 2.74, 4 Zn 2.74
Pd  0.2500  0.2500  0.2500  4 Tl 2.74, 4 Zn 2.74


2.
Here is an optimized crystal structure of Tm4NiPd3 from OQMD via LeMat-Bulk. Energies are from GGA-PBE.

Output
The calculated volume comes out at 21.02 Å³/atom. For the total energy, the calculation gives -5.716 eV per atom.

Cell: 5.4757 4.4721 6.8675 Å, 90.00 90.47 90.00°
Closest atoms and distances in Å follow each position.
Positions (direct):
Tm  0.0000  0.0000  0.0000  5 Pd 2.90-3.01, 2 Ni 2.92
Tm  0.2102  0.0000  0.5108  5 Pd 2.87-2.96, 2 Ni 2.92
Tm  0.4953  0.5000  0.1382  6 Pd 2.84-2.96, 1 Ni 2.88
Tm  0.7171  0.5000  0.6445  2 Ni 2.85-2.95, 5 Pd 2.95-2.99
Ni  0.2082  0.5000  0.7842  2 Pd 2.79, 7 Tm 2.85-2.95
Pd  0.0086  0.5000  0.2783  7 Tm 2.84-2.99, 2 Pd 2.87
Pd  0.4989  0.0000  0.8615  2 Ni 2.79, 7 Tm 2.87-2.95
Pd  0.7002  0.0000  0.3653  2 Pd 2.87, 7 Tm 2.87-3.01


3.
Here is an optimized crystal structure of Tm2NiPd from OQMD via LeMat-Bulk. Energies are from GGA-PBE.

Output
The value obtained for the excess energy over the best structure of this formula in the dataset is 5.4 meV/atom. The calculated volume comes out at 20.26 Å³/atom. For the total energy, the calculation gives -5.643 eV per atom.

Cell: 4.3142 5.4525 6.8902 Å, 90.00 90.00 90.00°
Closest atoms and distances in Å follow each position.
Positions (direct):
Tm  0.0000  0.1081  0.0000  4 Ni 2.87-2.89, 3 Pd 2.90-2.91
Tm  0.0000  0.8919  0.5000  4 Ni 2.87-2.89, 3 Pd 2.90-2.91
Tm  0.5000  0.3798  0.6392  3 Ni 2.80-2.97, 4 Pd 2.91
Tm  0.5000  0.6202  0.1392  3 Ni 2.80-2.97, 4 Pd 2.91
Ni  0.5000  0.1037  0.2757  2 Pd 2.73, 7 Tm 2.80-2.97
Ni  0.5000  0.8963  0.7757  2 Pd 2.73, 7 Tm 2.80-2.97
Pd  0.0000  0.3923  0.3567  2 Ni 2.73, 7 Tm 2.90-2.91
Pd  0.0000  0.6077  0.8567  2 Ni 2.73, 7 Tm 2.90-2.91


4.
Here is an optimized crystal structure of Tm2NiPd from OQMD via LeMat-Bulk. Energies are from GGA-PBE.

Output
The value obtained for the excess energy over the best structure of this formula in the dataset is 6.1 meV/atom. The calculated volume comes out at 20.41 Å³/atom. For the total energy, the calculation gives -5.642 eV per atom.

Cell: 4.3275 6.9032 5.4647 Å, 90.00 90.00 90.00°
Closest atoms and distances in Å follow each position.
Positions (direct):
Tm  0.0000  0.0661  0.0000  4 Ni 2.86-2.95, 3 Pd 2.90-2.93
Tm  0.0000  0.5736  0.2249  4 Pd 2.88-2.91, 3 Ni 2.88-2.95
Tm  0.5000  0.4264  0.7249  4 Pd 2.88-2.91, 3 Ni 2.88-2.95
Tm  0.5000  0.9339  0.5000  4 Ni 2.86-2.95, 3 Pd 2.90-2.93
Ni  0.0000  0.2098  0.5086  2 Pd 2.73, 7 Tm 2.86-2.95
Ni  0.5000  0.7902  0.0086  2 Pd 2.73, 7 Tm 2.86-2.95
Pd  0.0000  0.7087  0.7227  2 Ni 2.73, 7 Tm 2.88-2.93
Pd  0.5000  0.2913  0.2227  2 Ni 2.73, 7 Tm 2.88-2.93


5.
Here is an optimized crystal structure of Tm2NiPd from OQMD via LeMat-Bulk. Energies are from GGA-PBE.

Output
The value obtained for the excess energy over the best structure of this formula in the dataset is 0.0 meV/atom. The calculated volume comes out at 20.36 Å³/atom. For the total energy, the calculation gives -5.649 eV per atom.

Cell: 5.4186 4.3605 6.8944 Å, 90.00 90.83 90.00°
Closest atoms and distances in Å follow each position.
Positions (direct):
Tm  0.1410  0.2500  0.3078  3 Ni 2.77-2.88, 4 Pd 2.82-2.96
Tm  0.3583  0.2500  0.8270  4 Ni 2.84-2.90, 3 Pd 2.92-3.05
Tm  0.6417  0.7500  0.1730  4 Ni 2.84-2.90, 3 Pd 2.92-3.05
Tm  0.8590  0.7500  0.6922  3 Ni 2.77-2.88, 4 Pd 2.82-2.96
Ni  0.1330  0.7500  0.0350  2 Ni 2.65, 7 Tm 2.77-2.90
Ni  0.8670  0.2500  0.9650  2 Ni 2.65, 7 Tm 2.77-2.90
Pd  0.3429  0.7500  0.5453  7 Tm 2.82-3.05, 2 Pd 2.84
Pd  0.6571  0.2500  0.4547  7 Tm 2.82-3.05, 2 Pd 2.84


6.
Here is an optimized crystal structure of UNiPd from OQMD via LeMat-Bulk. Energies are from GGA-PBE.

Output
The value obtained for the excess energy over the best structure of this formula in the dataset is 456.9 meV/atom. The calculated volume comes out at 21.17 Å³/atom. For the total energy, the calculation gives -6.884 eV per atom.

Cell: 4.4783 4.4783 4.4783 Å, 60.00 60.00 60.00°
Closest atoms and distances in Å follow each position.
Positions (direct):
U  0.0000  0.0000  0.0000  4 Ni 2.74, 4 Pd 2.74
Ni  0.7500  0.7500  0.7500  4 U 2.74
Pd  0.2500  0.2500  0.2500  4 U 2.74


7.
Here is an optimized crystal structure of UNiPd from OQMD via LeMat-Bulk. Energies are from GGA-PBE.

Output
The value obtained for the excess energy over the best structure of this formula in the dataset is 0.0 meV/atom. The calculated volume comes out at 18.94 Å³/atom. For the total energy, the calculation gives -7.341 eV per atom.

Cell: 4.3150 4.3150 4.3150 Å, 60.00 60.00 60.00°
Closest atoms and distances in Å follow each position.
Positions (direct):
U  0.0000  0.0000  0.0000  4 Ni 2.64
Ni  0.2500  0.2500  0.2500  4 Pd 2.64, 4 U 2.64
Pd  0.5000  0.5000  0.5000  4 Ni 2.64


8.
Here is an optimized crystal structure of NiPd2W2 from OQMD via LeMat-Bulk. Energies are from GGA-PBE.

Output
The calculated volume comes out at 16.55 Å³/atom. For the total energy, the calculation gives -7.585 eV per atom.

Cell: 3.5661 3.5661 6.5085 Å, 90.00 90.00 90.00°
Closest atoms and distances in Å follow each position.
Positions (direct):
Ni  0.0000  0.0000  0.0000  8 W 2.78
Pd  0.0000  0.5000  0.5000  4 Pd 2.52, 4 W 2.75
Pd  0.5000  0.0000  0.5000  4 Pd 2.52, 4 W 2.75
W  0.5000  0.5000  0.1784  1 W 2.32
W  0.5000  0.5000  0.8216  1 W 2.32


9.
Here is an optimized crystal structure of ZnNiPdW from OQMD via LeMat-Bulk. Energies are from GGA-PBE.

Output
The calculated volume comes out at 14.10 Å³/atom. For the total energy, the calculation gives -6.131 eV per atom.

Cell: 4.3045 4.3045 4.3045 Å, 60.00 60.00 60.00°
Closest atoms and distances in Å follow each position.
Positions (direct):
Zn  0.0000  0.0000  0.0000  4 Pd 2.64, 4 Ni 2.64
Ni  0.2500  0.2500  0.2500  4 W 2.64, 4 Zn 2.64
Pd  0.7500  0.7500  0.7500  4 Zn 2.64, 4 W 2.64
W  0.5000  0.5000  0.5000  4 Pd 2.64, 4 Ni 2.64


10.
Here is an optimized crystal structure of YNiPd from OQMD via LeMat-Bulk. Energies are from GGA-PBE.

Output
The calculated volume comes out at 20.91 Å³/atom. For the total energy, the calculation gives -6.012 eV per atom.

Cell: 4.4600 4.4600 4.4600 Å, 60.00 60.00 60.00°
Closest atoms and distances in Å follow each position.
Positions (direct):
Y  0.0000  0.0000  0.0000  4 Pd 2.73
Ni  0.5000  0.5000  0.5000  4 Pd 2.73
Pd  0.7500  0.7500  0.7500  4 Ni 2.73, 4 Y 2.73


11.
Here is an optimized crystal structure of YNiPd from OQMD via LeMat-Bulk. Energies are from GGA-PBE.

Output
The calculated volume comes out at 21.29 Å³/atom. For the total energy, the calculation gives -5.717 eV per atom.

Cell: 4.4870 4.4870 4.4870 Å, 60.00 60.00 60.00°
Closest atoms and distances in Å follow each position.
Positions (direct):
Y  0.0000  0.0000  0.0000  4 Pd 2.75, 4 Ni 2.75
Ni  0.7500  0.7500  0.7500  4 Y 2.75
Pd  0.2500  0.2500  0.2500  4 Y 2.75


12.
Here is an optimized crystal structure of YNi4Pd from OQMD via LeMat-Bulk. Energies are from GGA-PBE.

Output
The calculated volume comes out at 13.85 Å³/atom. For the total energy, the calculation gives -6.006 eV per atom.

Cell: 4.8981 4.8981 4.8981 Å, 60.00 60.00 60.00°
Closest atoms and distances in Å follow each position.
Positions (direct):
Y  0.0000  0.0000  0.0000  12 Ni 2.87, 4 Pd 3.00
Ni  0.1274  0.6242  0.6242  6 Ni 2.43-2.46
Ni  0.6242  0.1274  0.6242  6 Ni 2.43-2.46
Ni  0.6242  0.6242  0.1274  6 Ni 2.43-2.46
Ni  0.6242  0.6242  0.6242  6 Ni 2.43-2.46
Pd  0.2500  0.2500  0.2500  12 Ni 2.87, 4 Y 3.00